PrCuTeS: optimized geometry, PBE.

## Properties
V ... 206 Å³/cell
Total magnetization ... 0.000 μB per atom
VASP energy ... -0.3797 Ry/atom
SG ... R-3m, No. 166

a b c (Å): 11.723 11.723 11.723
angles (deg): 22.43 22.43 22.43
Sites, in units of the cell vectors:
1 Pr 0.111 0.111 0.111
2 Pr 0.889 0.889 0.889
3 Cu 0.298 0.298 0.298
4 Cu 0.702 0.702 0.702
5 Te 0.380 0.380 0.380
6 Te 0.620 0.620 0.620
7 S 0.197 0.197 0.197
8 S 0.803 0.803 0.803

---

Mn2BiCCl: optimized geometry, PBE.

## Properties
V ... 96 Å³/cell
Total magnetization ... 1.609 μB per atom
VASP energy ... -0.4453 Ry/atom
SG ... P4/mmm, No. 123

a b c (Å): 4.197 4.197 5.449
angles (deg): 90.00 90.00 90.00
Sites, in units of the cell vectors:
1 Mn 0.000 0.500 0.000
2 Mn 0.500 0.000 0.000
3 Bi 0.000 0.000 0.500
4 C 0.000 0.000 0.000
5 Cl 0.500 0.500 0.500

---

PrNpTl2S4: optimized geometry, PBE.

## Properties
V ... 223 Å³/cell
Total magnetization ... 0.500 μB per atom
VASP energy ... -0.4477 Ry/atom
SG ... P2/m, No. 10

a b c (Å): 7.188 4.146 7.868
angles (deg): 90.00 107.73 90.00
Sites, in units of the cell vectors:
1 Pr 0.000 0.000 0.000
2 Np 0.500 0.500 0.000
3 Tl 0.000 0.500 0.500
4 Tl 0.500 0.000 0.500
5 S 0.243 0.500 0.204
6 S 0.278 0.000 0.803
7 S 0.722 0.000 0.197
8 S 0.757 0.500 0.796

---

AlPPb2: optimized geometry, PBE.

## Properties
Energy of formation from the pure elements ... 41.1 kJ/mol of atoms
V ... 392 Å³/cell
Total magnetization ... 0.000 μB per atom
ΔE to the lowest computed polymorph ... 9.93 kcal/mol of atoms
VASP energy ... -0.2732 Ry/atom
SG ... F-43m, No. 216

a b c (Å): 7.320 7.320 7.320
angles (deg): 90.00 90.00 90.00
Sites, in units of the cell vectors:
1 Al 0.000 0.000 0.000
2 Al 0.000 0.500 0.500
3 Al 0.500 0.000 0.500
4 Al 0.500 0.500 0.000
5 P 0.250 0.250 0.750
6 P 0.250 0.750 0.250
7 P 0.750 0.250 0.250
8 P 0.750 0.750 0.750
9 Pb 0.000 0.000 0.500
10 Pb 0.000 0.500 0.000
11 Pb 0.250 0.250 0.250
12 Pb 0.250 0.750 0.750
13 Pb 0.500 0.000 0.000
14 Pb 0.500 0.500 0.500
15 Pb 0.750 0.250 0.750
16 Pb 0.750 0.750 0.250

---

SiTcOs4: optimized geometry, PBE.

## Properties
V ... 94 Å³/cell
Total magnetization ... 0.000 μB per atom
VASP energy ... -0.6766 Ry/atom
SG ... F-43m, No. 216

a b c (Å): 5.102 5.102 5.102
angles (deg): 60.00 60.00 60.00
Sites, in units of the cell vectors:
1 Si 0.000 0.000 0.000
2 Tc 0.750 0.750 0.750
3 Os 0.375 0.375 0.375
4 Os 0.375 0.375 0.875
5 Os 0.375 0.875 0.375
6 Os 0.875 0.375 0.375

---

CdOs: optimized geometry, PBE.

## Properties
Energy of formation from the pure elements ... 42.5 kJ/mol of atoms
V ... 213 Å³/cell
Total magnetization ... 0.000 μB per atom
VASP energy ... -0.4139 Ry/atom
SG ... Cm, No. 8

a b c (Å): 10.926 2.816 7.509
angles (deg): 90.00 113.00 90.00
Sites, in units of the cell vectors:
1 Cd 0.000 0.000 0.000
2 Cd 0.103 0.500 0.368
3 Cd 0.293 0.000 0.133
4 Cd 0.500 0.500 0.000
5 Cd 0.603 0.000 0.368
6 Cd 0.793 0.500 0.133
7 Os 0.104 0.500 0.748
8 Os 0.295 0.000 0.705
9 Os 0.406 0.500 0.516
10 Os 0.604 0.000 0.748
11 Os 0.795 0.500 0.705
12 Os 0.906 0.000 0.516